First-principles (PBE) data for a geometry-optimized GaCuPt2 structure, as listed in OQMD.

The structure in POSCAR format:
```
GaCuPt2
1.0
5.727 0.000 0.000
0.000 7.104 0.000
0.000 0.000 5.658
Ga Cu Pt
4 4 8
Cartesian
5.725 1.776 1.410 Ga
0.002 5.328 4.249 Ga
2.862 1.776 1.420 Ga
2.865 5.328 4.239 Ga
0.000 1.776 4.244 Cu
5.727 5.328 1.415 Cu
2.864 1.776 4.244 Cu
2.863 5.328 1.414 Cu
1.433 0.005 0.005 Pt
1.433 3.547 0.005 Pt
1.431 3.557 2.835 Pt
1.431 7.099 2.835 Pt
4.296 0.005 2.824 Pt
4.296 3.547 2.824 Pt
4.295 3.557 5.653 Pt
4.295 7.099 5.653 Pt
```

Crystal system ... orthorhombic
Calculated volume ... 14.39 A^3/atom
Total DFT energy (no corrections) ... -82.581 eV/cell
Space-group type ... Pnma, No. 62
Total magnetic moment ... 0.000 μB per atom